First-principles (GGA+U) data for a relaxed PuVPbO6 crystal, as listed in the Alexandria database.

Calculated values
Crystal system: trigonal
Calculated total energy: -147.3 eV/cell

Unit cell a=5.415 b=5.415 c=10.656 alpha=90.00 beta=90.00 gamma=120.00
Positions (direct):
Pu 0.333 0.667 0.250
Pu 0.667 0.333 0.750
V 0.333 0.667 0.750
V 0.667 0.333 0.250
Pb 0.000 0.000 0.000
Pb 0.000 0.000 0.500
O 0.017 0.382 0.649
O 0.017 0.635 0.851
O 0.365 0.382 0.851
O 0.365 0.983 0.649
O 0.382 0.017 0.149
O 0.382 0.365 0.351
O 0.618 0.635 0.649
O 0.618 0.983 0.851
O 0.635 0.017 0.351
O 0.635 0.618 0.149
O 0.983 0.365 0.149
O 0.983 0.618 0.351